--- one ---
# Li2MnFe3O8, optimized geometry, DFT GGA-PBEsol
data_Li2MnFe3O8
_space_group_name_H-M_alt 'P 63 m c'
_space_group_IT_number 186
_space_group_name_Hall 'P 6c -2c'
_cell_length_a 5.5329
_cell_length_b 5.5329
_cell_length_c 9.1795
_cell_angle_alpha 90.00
_cell_angle_beta 90.00
_cell_angle_gamma 120.00
loop_
_atom_site_label
_atom_site_fract_x
_atom_site_fract_y
_atom_site_fract_z
Li1 0.0000 0.0000 0.0000
Li2 0.3333 0.6667 0.1016
Mn1 0.3333 0.6667 0.5066
Fe1 0.1750 0.3499 0.7820
O1 0.0000 0.0000 0.1911
O2 0.0384 0.5192 0.6524
O3 0.1669 0.3339 0.3946
O4 0.3333 0.6667 0.8971
# Crystal system: hexagonal
# Magnetization, Bohr magnetons per cell: 13.994
# D(E_F), states/eV/cell: 11.7

--- two ---
# Li2MnFe3O8, optimized geometry, DFT GGA-PBEsol
data_Li2MnFe3O8
_space_group_name_H-M_alt 'C 1 2/m 1'
_space_group_IT_number 12
_space_group_name_Hall '-C 2y'
_cell_length_a 9.4899
_cell_length_b 5.5693
_cell_length_c 5.7772
_cell_angle_alpha 90.00
_cell_angle_beta 122.53
_cell_angle_gamma 90.00
loop_
_atom_site_label
_atom_site_fract_x
_atom_site_fract_y
_atom_site_fract_z
Li1 0.2500 0.2500 0.0000
Mn1 0.0000 0.0000 0.5000
Fe1 0.0000 0.5000 0.5000
Fe2 0.2500 0.2500 0.5000
O1 0.0131 0.2507 0.2918
O2 0.2362 0.0000 0.7141
O3 0.2355 0.5000 0.7128
# Crystal system: monoclinic
# Magnetization, Bohr magnetons per cell: 14.000
# D(E_F), states/eV/cell: 13.7

Which structure loses on stability? two does.

--- one ---
# LiFeMo2, optimized geometry, DFT GGA-PBEsol
data_LiFeMo2
_space_group_name_H-M_alt 'P 4 m m'
_space_group_IT_number 99
_space_group_name_Hall 'P 4 -2'
_cell_length_a 2.7485
_cell_length_b 2.7485
_cell_length_c 7.0617
_cell_angle_alpha 90.00
_cell_angle_beta 90.00
_cell_angle_gamma 90.00
loop_
_atom_site_label
_atom_site_fract_x
_atom_site_fract_y
_atom_site_fract_z
Li1 0.0000 0.0000 0.0000
Fe1 0.5000 0.5000 0.7826
Mo1 0.0000 0.0000 0.5855
Mo2 0.5000 0.5000 0.2754
# Crystal system: tetragonal
# Magnetization, Bohr magnetons per cell: 0.000
# D(E_F), states/eV/cell: 2.6

--- two ---
# LiFeMo2, optimized geometry, DFT GGA-PBEsol
data_LiFeMo2
_space_group_name_H-M_alt 'P 4/m m m'
_space_group_IT_number 123
_space_group_name_Hall '-P 4 2'
_cell_length_a 2.6029
_cell_length_b 2.6029
_cell_length_c 8.2958
_cell_angle_alpha 90.00
_cell_angle_beta 90.00
_cell_angle_gamma 90.00
loop_
_atom_site_label
_atom_site_fract_x
_atom_site_fract_y
_atom_site_fract_z
Li1 0.0000 0.0000 0.0000
Fe1 0.0000 0.0000 0.5000
Mo1 0.5000 0.5000 0.2856
# Crystal system: tetragonal
# Magnetization, Bohr magnetons per cell: 0.540
# D(E_F), states/eV/cell: 4.0

Which structure loses on stability? one does.

--- one ---
# LiFeMo2, optimized geometry, DFT GGA-PBEsol
data_LiFeMo2
_space_group_name_H-M_alt 'P 1 2/m 1'
_space_group_IT_number 10
_space_group_name_Hall '-P 2y'
_cell_length_a 2.5384
_cell_length_b 4.2402
_cell_length_c 5.0722
_cell_angle_alpha 90.00
_cell_angle_beta 101.49
_cell_angle_gamma 90.00
loop_
_atom_site_label
_atom_site_fract_x
_atom_site_fract_y
_atom_site_fract_z
Li1 0.0000 0.0000 0.0000
Fe1 0.5000 0.0000 0.5000
Mo1 0.2354 0.5000 0.7459
# Crystal system: monoclinic
# Magnetization, Bohr magnetons per cell: 1.710
# D(E_F), states/eV/cell: 3.2

--- two ---
# LiFeMo2, optimized geometry, DFT GGA-PBEsol
data_LiFeMo2
_space_group_name_H-M_alt 'P 4/m m m'
_space_group_IT_number 123
_space_group_name_Hall '-P 4 2'
_cell_length_a 3.1802
_cell_length_b 3.1802
_cell_length_c 5.2605
_cell_angle_alpha 90.00
_cell_angle_beta 90.00
_cell_angle_gamma 90.00
loop_
_atom_site_label
_atom_site_fract_x
_atom_site_fract_y
_atom_site_fract_z
Li1 0.0000 0.0000 0.0000
Fe1 0.0000 0.0000 0.5000
Mo1 0.5000 0.5000 0.2698
# Crystal system: tetragonal
# Magnetization, Bohr magnetons per cell: 1.485
# D(E_F), states/eV/cell: 3.7

Which structure loses on stability? two does.

--- one ---
# LiFeN2, optimized geometry, DFT GGA-PBEsol
data_LiFeN2
_space_group_name_H-M_alt 'I -4 2 d'
_space_group_IT_number 122
_space_group_name_Hall 'I -4 2bw'
_cell_length_a 4.5173
_cell_length_b 4.5173
_cell_length_c 8.0357
_cell_angle_alpha 90.00
_cell_angle_beta 90.00
_cell_angle_gamma 90.00
loop_
_atom_site_label
_atom_site_fract_x
_atom_site_fract_y
_atom_site_fract_z
Li1 0.0000 0.0000 0.0000
Fe1 0.0000 0.0000 0.5000
N1 0.1842 0.2500 0.6250
# Crystal system: tetragonal
# Magnetization, Bohr magnetons per cell: 0.001
# D(E_F), states/eV/cell: 6.6

--- two ---
# LiFeN2, optimized geometry, DFT GGA-PBEsol
data_LiFeN2
_space_group_name_H-M_alt 'R -3 m'
_space_group_IT_number 166
_space_group_name_Hall '-R 3 2"'
_cell_length_a 2.7741
_cell_length_b 2.7741
_cell_length_c 17.5398
_cell_angle_alpha 90.00
_cell_angle_beta 90.00
_cell_angle_gamma 120.00
loop_
_atom_site_label
_atom_site_fract_x
_atom_site_fract_y
_atom_site_fract_z
Li1 0.0000 0.0000 0.0000
Fe1 0.0000 0.0000 0.5000
N1 0.0000 0.0000 0.1060
# Crystal system: trigonal
# Magnetization, Bohr magnetons per cell: 7.089
# D(E_F), states/eV/cell: 5.7

Which structure loses on stability? two does.

--- one ---
# Li2NbFe, optimized geometry, DFT GGA-PBEsol
data_Li2NbFe
_space_group_name_H-M_alt 'F m -3 m'
_space_group_IT_number 225
_space_group_name_Hall '-F 4 2 3'
_cell_length_a 5.9403
_cell_length_b 5.9403
_cell_length_c 5.9403
_cell_angle_alpha 90.00
_cell_angle_beta 90.00
_cell_angle_gamma 90.00
loop_
_atom_site_label
_atom_site_fract_x
_atom_site_fract_y
_atom_site_fract_z
Li1 0.2500 0.2500 0.2500
Nb1 0.0000 0.0000 0.0000
Fe1 0.0000 0.0000 0.5000
# Crystal system: cubic
# Magnetization, Bohr magnetons per cell: 9.757
# D(E_F), states/eV/cell: 15.0

--- two ---
# Li2NbFe, optimized geometry, DFT GGA-PBEsol
data_Li2NbFe
_space_group_name_H-M_alt 'I -4 2 d'
_space_group_IT_number 122
_space_group_name_Hall 'I -4 2bw'
_cell_length_a 6.9609
_cell_length_b 6.9609
_cell_length_c 4.6430
_cell_angle_alpha 90.00
_cell_angle_beta 90.00
_cell_angle_gamma 90.00
loop_
_atom_site_label
_atom_site_fract_x
_atom_site_fract_y
_atom_site_fract_z
Li1 0.2201 0.7500 0.1250
Nb1 0.0000 0.0000 0.5000
Fe1 0.0000 0.0000 0.0000
# Crystal system: tetragonal
# Magnetization, Bohr magnetons per cell: 5.655
# D(E_F), states/eV/cell: 15.0

Which structure loses on stability? two does.

--- one ---
# Li2NbFe3O8, optimized geometry, DFT GGA-PBEsol
data_Li2NbFe3O8
_space_group_name_H-M_alt 'R -3 m'
_space_group_IT_number 166
_space_group_name_Hall '-R 3 2"'
_cell_length_a 5.7531
_cell_length_b 5.7531
_cell_length_c 14.0106
_cell_angle_alpha 90.00
_cell_angle_beta 90.00
_cell_angle_gamma 120.00
loop_
_atom_site_label
_atom_site_fract_x
_atom_site_fract_y
_atom_site_fract_z
Li1 0.0000 0.0000 0.1241
Nb1 0.0000 0.0000 0.5000
Fe1 0.0000 0.5000 0.0000
O1 0.0000 0.0000 0.2654
O2 0.0193 0.5096 0.2579
# Crystal system: trigonal
# Magnetization, Bohr magnetons per cell: 8.998
# D(E_F), states/eV/cell: 34.5

--- two ---
# Li2NbFe3O8, optimized geometry, DFT GGA-PBEsol
data_Li2NbFe3O8
_space_group_name_H-M_alt 'P 43 3 2'
_space_group_IT_number 212
_space_group_name_Hall 'P 4acd 2ab 3'
_cell_length_a 8.1090
_cell_length_b 8.1090
_cell_length_c 8.1090
_cell_angle_alpha 90.00
_cell_angle_beta 90.00
_cell_angle_gamma 90.00
loop_
_atom_site_label
_atom_site_fract_x
_atom_site_fract_y
_atom_site_fract_z
Li1 0.0111 0.4889 0.5111
Nb1 0.1250 0.8750 0.3750
Fe1 0.1234 0.6250 0.1266
O1 0.1045 0.6045 0.8955
O2 0.1121 0.8859 0.6255
# Crystal system: cubic
# Magnetization, Bohr magnetons per cell: 12.003
# D(E_F), states/eV/cell: 44.2

Which structure loses on stability? one does.

--- one ---
# Li2FeP2O7, optimized geometry, DFT GGA-PBEsol
data_Li2FeP2O7
_space_group_name_H-M_alt 'C 1 2/m 1'
_space_group_IT_number 12
_space_group_name_Hall '-C 2y'
_cell_length_a 7.9136
_cell_length_b 12.6490
_cell_length_c 5.4569
_cell_angle_alpha 90.00
_cell_angle_beta 90.05
_cell_angle_gamma 90.00
loop_
_atom_site_label
_atom_site_fract_x
_atom_site_fract_y
_atom_site_fract_z
Li1 0.0000 0.2112 0.0000
Li2 0.0000 0.2111 0.5000
Fe1 0.1919 0.0000 0.2495
P1 0.1968 0.3886 0.2503
O1 0.0652 0.3035 0.2501
O2 0.0953 0.5000 0.2501
O3 0.1914 0.1100 0.9821
O4 0.1916 0.1100 0.5170
# Crystal system: monoclinic
# Magnetization, Bohr magnetons per cell: 16.000
# D(E_F), states/eV/cell: 4.2

--- two ---
# Li2FeP2O7, optimized geometry, DFT GGA-PBEsol
data_Li2FeP2O7
_space_group_name_H-M_alt 'P -4 21 m'
_space_group_IT_number 113
_space_group_name_Hall 'P -4 2ab'
_cell_length_a 7.6197
_cell_length_b 7.6197
_cell_length_c 4.9502
_cell_angle_alpha 90.00
_cell_angle_beta 90.00
_cell_angle_gamma 90.00
loop_
_atom_site_label
_atom_site_fract_x
_atom_site_fract_y
_atom_site_fract_z
Li1 0.2164 0.2836 0.4584
Fe1 0.0000 0.0000 0.0000
P1 0.1430 0.6430 0.1040
O1 0.0000 0.5000 0.1995
O2 0.0809 0.8117 0.2486
O3 0.1548 0.6548 0.8024
# Crystal system: tetragonal
# Magnetization, Bohr magnetons per cell: 8.000
# D(E_F), states/eV/cell: 13.0

Which structure loses on stability? two does.

--- one ---
# Li2FeP4O12, optimized geometry, DFT GGA-PBEsol
data_Li2FeP4O12
_space_group_name_H-M_alt 'P -1'
_space_group_IT_number 2
_space_group_name_Hall '-P 1'
_cell_length_a 5.2111
_cell_length_b 7.0335
_cell_length_c 7.1144
_cell_angle_alpha 108.76
_cell_angle_beta 94.59
_cell_angle_gamma 107.26
loop_
_atom_site_label
_atom_site_fract_x
_atom_site_fract_y
_atom_site_fract_z
Li1 0.1553 0.2219 0.0630
Fe1 0.5000 0.5000 0.5000
P1 0.1698 0.7103 0.2877
P2 0.3646 0.9253 0.7297
O1 0.0835 0.3211 0.8447
O2 0.1803 0.8667 0.5130
O3 0.1892 0.9383 0.8844
O4 0.2251 0.5149 0.3047
O5 0.4384 0.8373 0.2250
O6 0.4705 0.2240 0.2961
# Crystal system: triclinic
# Magnetization, Bohr magnetons per cell: 4.000
# D(E_F), states/eV/cell: 0.1

--- two ---
# Li2FeP4O12, optimized geometry, DFT GGA-PBEsol
data_Li2FeP4O12
_space_group_name_H-M_alt 'P n m a'
_space_group_IT_number 62
_space_group_name_Hall '-P 2ac 2n'
_cell_length_a 9.3451
_cell_length_b 9.2937
_cell_length_c 10.0234
_cell_angle_alpha 90.00
_cell_angle_beta 90.00
_cell_angle_gamma 90.00
loop_
_atom_site_label
_atom_site_fract_x
_atom_site_fract_y
_atom_site_fract_z
Li1 0.0083 0.0972 0.1773
Fe1 0.0114 0.2500 0.8013
P1 0.1961 0.7500 0.6086
P2 0.2106 0.5381 0.3880
P3 0.2267 0.2500 0.5210
O1 0.0990 0.7500 0.7268
O2 0.1130 0.7500 0.0341
O3 0.1155 0.5702 0.2709
O4 0.1304 0.0608 0.8769
O5 0.1359 0.2500 0.6429
O6 0.1456 0.2500 0.1277
O7 0.1482 0.6158 0.5182
O8 0.1760 0.1242 0.4241
# Crystal system: orthorhombic
# Magnetization, Bohr magnetons per cell: 16.000
# D(E_F), states/eV/cell: 16.5

Which structure loses on stability? one does.